1.
This record from Alexandria via LeMat-Bulk describes a relaxed structure of La2MoP. The functional is GGA-PBE.

Structure (POSCAR):
```
La2MoP
1.0
-3.947 3.947 3.150
3.947 -3.947 3.150
3.947 3.947 -3.150
La Mo P
4 2 2
direct
0.116 0.625 0.991
0.375 0.366 0.491
0.634 0.125 0.009
0.875 0.884 0.509
0.000 0.000 0.000
0.750 0.250 0.500
0.250 0.750 0.500
0.500 0.500 0.000
```

Computed properties:
* total magnetic moment: 1.47 μB per formula unit
* raw total energy: -50.9 eV per cell
* density of states at the Fermi level: 7.657 states/eV/cell
* E_form: 0.160 eV per atom

---

2.
This record from Alexandria via LeMat-Bulk describes a relaxed structure of LaMoPRh2. The functional is GGA-PBE.

Structure (POSCAR):
```
LaMoPRh2
1.0
4.390 0.000 0.000
0.000 4.390 0.000
0.000 0.000 5.442
La Mo P Rh
1 1 1 2
direct
0.000 0.000 0.000
0.500 0.500 0.000
0.000 0.000 0.500
0.000 0.500 0.500
0.500 0.000 0.500
```

Computed properties:
* total magnetic moment: 2.94 μB per formula unit
* raw total energy: -34.1 eV per cell
* density of states at the Fermi level: 7.007 states/eV/cell
* E_form: 0.356 eV per atom

---

What is the formula in the first record? La2MoP